Material: NiIr3Os
Method: DFT, PBE
State: optimized geometry

Cell and atoms, written as POSCAR:
```
NiIr3Os
1.0
4.4818 0.1940 1.3777
1.3378 4.4511 0.4200
0.2590 0.0885 7.1239
Ir Os Ni
6 2 2
Direct
0.6557 0.8445 0.4069
0.7554 0.3443 0.2077
0.2573 0.8445 0.2037
0.9538 0.3443 0.8102
0.1538 0.3444 0.4109
0.4574 0.8445 0.8044
0.3558 0.3446 0.0056
0.0553 0.8442 0.6090
0.8556 0.8441 0.0073
0.5555 0.3447 0.6072
```

Total energy = -86.822 eV for the cell shown
Energy relative to the lowest polymorph listed for this composition = 0.00 eV/f.u.
Symmetry = C2/c, No. 15